1.
# Mo2PtSe | Alexandria | PBE | optimized geometry
data_Mo2PtSe
_chemical_formula_sum 'Mo4 Pt2 Se2'
_cell_length_a 8.000
_cell_length_b 2.849
_cell_length_c 5.847
_cell_angle_alpha 90.00
_cell_angle_beta 99.41
_cell_angle_gamma 90.00
_symmetry_space_group_name_H-M 'C 1 2/m 1'
_symmetry_Int_Tables_number 12
loop_
_symmetry_equiv_pos_as_xyz
'x,y,z'
'-x,-y,-z'
'-x,y,-z'
'x,-y,z'
'x+1/2,y+1/2,z'
'-x+1/2,-y+1/2,-z'
'-x+1/2,y+1/2,-z'
'x+1/2,-y+1/2,z'
loop_
_atom_site_label
_atom_site_fract_x
_atom_site_fract_y
_atom_site_fract_z
Mo1 0.250 0.000 0.230
Pt1 0.000 0.000 0.500
Se1 0.000 0.500 0.000
# ρ = 11.8 g cm⁻³
# energy relative to the elements, uncorrected = 203 meV per atom


2.
# Ni2OsW | Alexandria | PBE | optimized geometry
data_Ni2OsW
_chemical_formula_sum 'Ni4 Os2 W2'
_cell_length_a 8.744
_cell_length_b 2.666
_cell_length_c 4.577
_cell_angle_alpha 90.00
_cell_angle_beta 99.60
_cell_angle_gamma 90.00
_symmetry_space_group_name_H-M 'C 1 m 1'
_symmetry_Int_Tables_number 8
loop_
_symmetry_equiv_pos_as_xyz
'x,y,z'
'x,-y,z'
'x+1/2,y+1/2,z'
'x+1/2,-y+1/2,z'
loop_
_atom_site_label
_atom_site_fract_x
_atom_site_fract_y
_atom_site_fract_z
Ni1 0.000 0.000 0.000
Ni2 0.250 0.000 0.770
Os1 0.008 0.500 0.522
W1 0.248 0.500 0.256
# ρ = 15.5 g cm⁻³
# energy = -70.9 eV per cell


3.
# CsK3In | Alexandria | PBE | optimized geometry
data_CsK3In
_chemical_formula_sum 'Cs1 K3 In1'
_cell_length_a 7.051
_cell_length_b 7.051
_cell_length_c 7.051
_cell_angle_alpha 90.00
_cell_angle_beta 90.00
_cell_angle_gamma 90.00
_symmetry_space_group_name_H-M 'P m -3 m'
_symmetry_Int_Tables_number 221
_symmetry_space_group_name_Hall '-P 4 2 3'
loop_
_atom_site_label
_atom_site_fract_x
_atom_site_fract_y
_atom_site_fract_z
Cs1 0.000 0.000 0.000
K1 0.000 0.500 0.500
In1 0.500 0.500 0.500
# ρ = 1.7 g cm⁻³
# energy = -6.6 eV per cell


4.
# Tb4TmSc6 | Alexandria | PBE | optimized geometry
data_Tb4TmSc6
_chemical_formula_sum 'Tb16 Tm4 Sc24'
_cell_length_a 5.362
_cell_length_b 9.279
_cell_length_c 24.430
_cell_angle_alpha 90.00
_cell_angle_beta 90.00
_cell_angle_gamma 90.00
_symmetry_space_group_name_H-M 'C m c m'
_symmetry_Int_Tables_number 63
_symmetry_space_group_name_Hall '-C 2c 2'
loop_
_atom_site_label
_atom_site_fract_x
_atom_site_fract_y
_atom_site_fract_z
Tb1 0.000 0.001 0.124
Tb2 0.000 0.334 0.043
Tm1 0.000 0.332 0.750
Sc1 0.000 0.000 0.000
Sc2 0.000 0.001 0.250
Sc3 0.000 0.332 0.604
Sc4 0.000 0.334 0.184
# ρ = 5.9 g cm⁻³
# energy = -238.4 eV per cell


- ρ of number 4 (Tb4TmSc6)?
  5.9 g cm⁻³


Please write out number 3 again, unchanged.
# CsK3In | Alexandria | PBE | optimized geometry
data_CsK3In
_chemical_formula_sum 'Cs1 K3 In1'
_cell_length_a 7.051
_cell_length_b 7.051
_cell_length_c 7.051
_cell_angle_alpha 90.00
_cell_angle_beta 90.00
_cell_angle_gamma 90.00
_symmetry_space_group_name_H-M 'P m -3 m'
_symmetry_Int_Tables_number 221
_symmetry_space_group_name_Hall '-P 4 2 3'
loop_
_atom_site_label
_atom_site_fract_x
_atom_site_fract_y
_atom_site_fract_z
Cs1 0.000 0.000 0.000
K1 0.000 0.500 0.500
In1 0.500 0.500 0.500
# ρ = 1.7 g cm⁻³
# energy = -6.6 eV per cell


- The lowest ρ belongs to which entry?
  CsK3In